A geometry-optimized AcSmMgIn structure, computed with GGA-PBE.

Lattice parameters (Å, degrees): 5.623 5.623 5.623 60.00 60.00 60.00
Sites, in units of the cell vectors:
Ac (0.250, 0.250, 0.250)
Mg (0.000, 0.000, 0.000)
Sm (0.750, 0.750, 0.750)
In (0.500, 0.500, 0.500)

Calculated values
VASP energy: -3.558 eV/atom
space group: F-43m
calculated formation energy: -0.267 eV/atom

---

A geometry-optimized Ag9SnAu2 structure, computed with GGA-PBE.

Lattice parameters (Å, degrees): 4.228 4.228 12.356 90.00 90.00 90.00
Sites, in units of the cell vectors:
Ag (0.500, 0.500, 0.000)
Ag (0.500, 0.500, 0.337)
Ag (0.500, 0.500, 0.663)
Ag (0.500, 0.000, 0.172)
Ag (0.500, 0.000, 0.500)
Ag (0.500, 0.000, 0.828)
Ag (0.000, 0.500, 0.172)
Ag (0.000, 0.500, 0.500)
Ag (0.000, 0.500, 0.828)
Sn (0.000, 0.000, 0.000)
Au (0.000, 0.000, 0.337)
Au (0.000, 0.000, 0.663)

Calculated values
VASP energy: -3.028 eV/atom
space group: P4/mmm
calculated formation energy: -0.010 eV/atom

---

A geometry-optimized LiHoInRu structure, computed with GGA-PBE.

Lattice parameters (Å, degrees): 4.743 4.743 4.743 60.00 60.00 60.00
Sites, in units of the cell vectors:
Ru (0.250, 0.250, 0.250)
Li (0.750, 0.750, 0.750)
Ho (0.500, 0.500, 0.500)
In (0.000, 0.000, 0.000)

Calculated values
VASP energy: -4.913 eV/atom
space group: F-43m
calculated formation energy: -0.287 eV/atom